[1]
# YHfGaPd (PBE-GGA, optimized geometry)
# DFT formation energy	-0.514	eV per atom
# N(E_F)	0.966	states/eV/atom
# symmetry	F-43m, No. 216
# total DFT energy (no corrections)	-26.7	eV/f.u.
data_YHfGaPd
_cell_length_a 6.889
_cell_length_b 6.889
_cell_length_c 6.889
_cell_angle_alpha 90.00
_cell_angle_beta 90.00
_cell_angle_gamma 90.00
_space_group_name_H-M_alt 'P 1'
_space_group_IT_number 1
loop_
_space_group_symop_operation_xyz
'x,y,z'
loop_
_atom_site_label
_atom_site_type_symbol
_atom_site_fract_x
_atom_site_fract_y
_atom_site_fract_z
_atom_site_occupancy
Y1 Y 0.000 0.000 0.000 1
Y2 Y 0.000 0.500 0.500 1
Y3 Y 0.500 0.000 0.500 1
Y4 Y 0.500 0.500 0.000 1
Hf1 Hf 0.000 0.000 0.500 1
Hf2 Hf 0.000 0.500 0.000 1
Hf3 Hf 0.500 0.000 0.000 1
Hf4 Hf 0.500 0.500 0.500 1
Ga1 Ga 0.250 0.250 0.250 1
Ga2 Ga 0.250 0.750 0.750 1
Ga3 Ga 0.750 0.250 0.750 1
Ga4 Ga 0.750 0.750 0.250 1
Pd1 Pd 0.250 0.250 0.750 1
Pd2 Pd 0.250 0.750 0.250 1
Pd3 Pd 0.750 0.250 0.250 1
Pd4 Pd 0.750 0.750 0.750 1


[2]
# TbScAs2 (PBE-GGA, optimized geometry)
# DFT formation energy	-1.445	eV per atom
# N(E_F)	0.146	states/eV/atom
# symmetry	R-3m, No. 166
# total DFT energy (no corrections)	-26.0	eV/f.u.
# E above lowest polymorph	0.000	eV/atom
data_TbScAs2
_cell_length_a 4.017
_cell_length_b 4.017
_cell_length_c 19.596
_cell_angle_alpha 90.00
_cell_angle_beta 90.00
_cell_angle_gamma 120.00
_space_group_name_H-M_alt 'P 1'
_space_group_IT_number 1
loop_
_space_group_symop_operation_xyz
'x,y,z'
loop_
_atom_site_label
_atom_site_type_symbol
_atom_site_fract_x
_atom_site_fract_y
_atom_site_fract_z
_atom_site_occupancy
Tb1 Tb 0.000 0.000 0.000 1
Tb2 Tb 0.333 0.667 0.667 1
Tb3 Tb 0.667 0.333 0.333 1
Sc1 Sc 0.000 0.000 0.500 1
Sc2 Sc 0.333 0.667 0.167 1
Sc3 Sc 0.667 0.333 0.833 1
As1 As 0.000 0.000 0.245 1
As2 As 0.000 0.000 0.755 1
As3 As 0.333 0.667 0.422 1
As4 As 0.333 0.667 0.911 1
As5 As 0.667 0.333 0.089 1
As6 As 0.667 0.333 0.578 1


[3]
# AcTb2Pr6Ho (PBE-GGA, optimized geometry)
# DFT formation energy	0.117	eV per atom
# N(E_F)	1.450	states/eV/atom
# symmetry	C2/c, No. 15
# total DFT energy (no corrections)	-45.5	eV/f.u.
data_AcTb2Pr6Ho
_cell_length_a 9.127
_cell_length_b 9.127
_cell_length_c 9.840
_cell_angle_alpha 93.21
_cell_angle_beta 93.21
_cell_angle_gamma 117.62
_space_group_name_H-M_alt 'P 1'
_space_group_IT_number 1
loop_
_space_group_symop_operation_xyz
'x,y,z'
loop_
_atom_site_label
_atom_site_type_symbol
_atom_site_fract_x
_atom_site_fract_y
_atom_site_fract_z
_atom_site_occupancy
Ac1 Ac 0.026 0.974 0.750 1
Ac2 Ac 0.974 0.026 0.250 1
Tb1 Tb 0.204 0.312 0.547 1
Tb2 Tb 0.312 0.204 0.047 1
Tb3 Tb 0.688 0.796 0.953 1
Tb4 Tb 0.796 0.688 0.453 1
Pr1 Pr 0.008 0.557 0.686 1
Pr2 Pr 0.123 0.755 0.053 1
Pr3 Pr 0.245 0.877 0.447 1
Pr4 Pr 0.291 0.508 0.882 1
Pr5 Pr 0.443 0.992 0.814 1
Pr6 Pr 0.492 0.709 0.618 1
Pr7 Pr 0.508 0.291 0.382 1
Pr8 Pr 0.557 0.008 0.186 1
Pr9 Pr 0.709 0.492 0.118 1
Pr10 Pr 0.755 0.123 0.553 1
Pr11 Pr 0.877 0.245 0.947 1
Pr12 Pr 0.992 0.443 0.314 1
Ho1 Ho 0.413 0.587 0.250 1
Ho2 Ho 0.587 0.413 0.750 1